# Tl2NiIr

Tl2NiIr after structural relaxation (PBE, Alexandria).

The structure belongs to space group I-4m2 (No. 119); the cell edges are 3.911, 3.911 and 9.556 Å and the angles 90.00°, 90.00° and 90.00°. The asymmetric unit holds Tl at (0.000, 0.000, 0.000), Tl at (0.000, 0.500, 0.250), Ni at (0.000, 0.000, 0.500) and Ir at (0.000, 0.500, 0.750).

As for the energy above the most stable polymorph in this dataset: 0.68 eV/f.u. The theoretical density is 14.99 Mg/m³. The formation energy from the elements comes out at 0.5245 eV/atom. Its final energy is -0.3175 Ry/atom. Its total magnetic moment is 0.00 Bohr magnetons per cell.